Density functional theory data (GGA-PBE) for La2NdSe after structural relaxation.

```
La2NdSe
1.0
3.9920 0.0000 0.0000
1.9960 3.4572 0.0000
1.9960 1.1524 9.8466
Nd Se La
1 1 2
Direct
0.4999 0.4999 0.5004
0.6669 0.6669 0.9994
0.2670 0.2670 0.1991
0.0663 0.0663 0.8011
```

Results
Volume   136 Å³/cell
Total moment   0.035 μB per atom
Total DFT energy (no corrections)   -5.37 eV per atom
SG   No. 160
ΔE_f (raw)   -0.8451 eV/atom